(1)
Computed, not measured: a geometry-optimized BaHfRe3 structure at the PBE-GGA level of DFT.

Properties
The crystal system is cubic. For the calculated formation energy, the calculation gives 1.9848 eV per atom. The uncorrected energy comes out at -7.86 eV/atom. Its calculated density is 11.51 g/cm3. Its space group is Pm-3m (221).

The structure in CIF format:
```
data_BaHfRe3
_chemical_formula_sum 'Ba1 Hf1 Re3'
_space_group_name_H-M_alt 'P 1'
_space_group_IT_number 1
_cell_length_a 5.015
_cell_length_b 5.015
_cell_length_c 5.015
_cell_angle_alpha 90.00
_cell_angle_beta 90.00
_cell_angle_gamma 90.00
loop_
_space_group_symop_operation_xyz
'x,y,z'
loop_
_atom_site_label
_atom_site_type_symbol
_atom_site_fract_x
_atom_site_fract_y
_atom_site_fract_z
Re1 Re 0.000 0.500 0.000
Re2 Re 0.000 0.000 0.500
Re3 Re 0.500 0.000 0.000
Hf1 Hf 0.000 0.000 0.000
Ba1 Ba 0.500 0.500 0.500
```

***

(2)
Computed, not measured: a geometry-optimized Zr3Sc2C4 structure at the PBE-GGA level of DFT.

Properties
The crystal system is monoclinic. For the calculated formation energy, the calculation gives -0.6788 eV per atom. The uncorrected energy comes out at -9.03 eV/atom. Its calculated density is 5.18 g/cm3. Its space group is C2/m (12).

The structure in CIF format:
```
data_Zr3Sc2C4
_chemical_formula_sum 'Zr3 Sc2 C4'
_space_group_name_H-M_alt 'P 1'
_space_group_IT_number 1
_cell_length_a 3.340
_cell_length_b 5.798
_cell_length_c 7.438
_cell_angle_alpha 76.21
_cell_angle_beta 77.02
_cell_angle_gamma 73.26
loop_
_space_group_symop_operation_xyz
'x,y,z'
loop_
_atom_site_label
_atom_site_type_symbol
_atom_site_fract_x
_atom_site_fract_y
_atom_site_fract_z
Zr1 Zr 0.000 0.000 0.000
Zr2 Zr 0.203 0.402 0.191
Zr3 Zr 0.797 0.598 0.809
Sc1 Sc 0.612 0.166 0.611
Sc2 Sc 0.388 0.834 0.389
C1 C 0.794 0.110 0.302
C2 C 0.206 0.890 0.698
C3 C 0.399 0.302 0.900
C4 C 0.601 0.698 0.100
```

***

(3)
Computed, not measured: a geometry-optimized Ti4Zn3Au structure at the PBE-GGA level of DFT.

Properties
The crystal system is orthorhombic. For the calculated formation energy, the calculation gives -0.2244 eV per atom. The uncorrected energy comes out at -5.06 eV/atom. Its calculated density is 7.56 g/cm3. Its space group is Pmma (51).

The structure in CIF format:
```
data_Ti4Zn3Au
_chemical_formula_sum 'Ti8 Zn6 Au2'
_space_group_name_H-M_alt 'P 1'
_space_group_IT_number 1
_cell_length_a 4.855
_cell_length_b 5.763
_cell_length_c 9.176
_cell_angle_alpha 90.00
_cell_angle_beta 90.00
_cell_angle_gamma 90.00
loop_
_space_group_symop_operation_xyz
'x,y,z'
loop_
_atom_site_label
_atom_site_type_symbol
_atom_site_fract_x
_atom_site_fract_y
_atom_site_fract_z
Zn1 Zn 0.000 0.000 0.000
Zn2 Zn 0.000 0.000 0.500
Zn3 Zn 0.662 0.000 0.750
Zn4 Zn 0.338 0.000 0.250
Zn5 Zn 0.658 0.500 0.750
Zn6 Zn 0.342 0.500 0.250
Au1 Au 0.000 0.500 0.000
Au2 Au 0.000 0.500 0.500
Ti1 Ti 0.500 0.756 0.000
Ti2 Ti 0.500 0.756 0.500
Ti3 Ti 0.500 0.244 0.000
Ti4 Ti 0.500 0.244 0.500
Ti5 Ti 0.161 0.757 0.750
Ti6 Ti 0.839 0.757 0.250
Ti7 Ti 0.839 0.243 0.250
Ti8 Ti 0.161 0.243 0.750
```

***

(4)
Computed, not measured: a geometry-optimized Tm2Sc3Cd3 structure at the PBE-GGA level of DFT.

Properties
The crystal system is orthorhombic. For the calculated formation energy, the calculation gives -0.1943 eV per atom. The uncorrected energy comes out at -4.03 eV/atom. Its calculated density is 6.97 g/cm3. Its space group is Immm (71).

The structure in CIF format:
```
data_Tm2Sc3Cd3
_chemical_formula_sum 'Tm2 Sc3 Cd3'
_space_group_name_H-M_alt 'P 1'
_space_group_IT_number 1
_cell_length_a 3.603
_cell_length_b 5.070
_cell_length_c 11.012
_cell_angle_alpha 103.31
_cell_angle_beta 99.41
_cell_angle_gamma 90.00
loop_
_space_group_symop_operation_xyz
'x,y,z'
loop_
_atom_site_label
_atom_site_type_symbol
_atom_site_fract_x
_atom_site_fract_y
_atom_site_fract_z
Tm1 Tm 0.266 0.766 0.532
Tm2 Tm 0.734 0.234 0.468
Sc1 Sc 0.377 0.377 0.753
Sc2 Sc 0.623 0.623 0.247
Sc3 Sc 0.500 0.000 0.000
Cd1 Cd 0.886 0.886 0.772
Cd2 Cd 0.000 0.500 0.000
Cd3 Cd 0.114 0.114 0.228
```